Entry from the Alexandria database: an optimized crystal structure of SrCu2Pd4 (PBE).

Lattice parameters (Å, degrees): 6.812 6.812 5.172 90.00 90.00 90.00
Space group I4/mmm (No. 139)
Symmetry-distinct sites (fractional):
Sr 0.000 0.000 0.000 (multiplicity 2)
Cu 0.000 0.500 0.250 (multiplicity 4)
Pd 0.199 0.199 0.500 (multiplicity 8)

=====

Entry from the Alexandria database: an optimized crystal structure of KAsW2 (PBE).

Lattice parameters (Å, degrees): 2.9702 2.9702 30.6784 90.00 90.00 120.00
Space group R-3m (No. 166, hexagonal axes)
Symmetry-distinct sites (fractional):
K 0.0000 0.0000 0.0000 (multiplicity 3)
As 0.0000 0.0000 0.5000 (multiplicity 3)
W 0.0000 0.0000 0.2319 (multiplicity 6)

=====

Record-wise density values, in g/cm3: 8.86, 10.24
Record-wise M_tot values, in μB per formula unit: 0.000, 0.000
Record-wise formation energy values, in eV/atom: -0.239, 1.011